{
  "formula": "YZrIr2",
  "functional": "PBE-GGA",
  "state": "relaxed",
  "lattice_angstrom": [[4.499, 0.000, 0.000], [0.000, 1.704, 5.181], [0.000, -1.704, 5.181]],
  "species": ["Y", "Zr", "Ir", "Ir"],
  "frac_coords": [[0.000, 0.000, 0.000], [0.500, 0.721, 0.721], [0.000, 0.267, 0.267], [0.500, 0.443, 0.443]],
  "spacegroup": "Amm2, No. 38",
  "crystal_system": "orthorhombic"
}

=====

{
  "formula": "YZr2Ir",
  "functional": "PBE-GGA",
  "state": "relaxed",
  "lattice_angstrom": [[3.390, 0.000, 0.000], [0.000, 3.390, 0.000], [0.000, 0.000, 7.787]],
  "species": ["Y", "Zr", "Zr", "Ir"],
  "frac_coords": [[0.000, 0.000, 0.000], [0.500, 0.500, 0.301], [0.500, 0.500, 0.699], [0.000, 0.000, 0.500]],
  "polymorph_energy_kj_per_mol_atoms": 12.5,
  "spacegroup": "P4/mmm, No. 123",
  "crystal_system": "tetragonal"
}

=====

{
  "formula": "YZr2Ir",
  "functional": "PBE-GGA",
  "state": "relaxed",
  "lattice_angstrom": [[1.758, 1.015, 9.145], [-1.758, 1.015, 9.145], [0.000, -2.030, 9.145]],
  "species": ["Y", "Zr", "Zr", "Ir"],
  "frac_coords": [[0.000, 0.000, 0.000], [0.230, 0.230, 0.230], [0.770, 0.770, 0.770], [0.500, 0.500, 0.500]],
  "polymorph_energy_kj_per_mol_atoms": 28.5,
  "spacegroup": "R-3m, No. 166",
  "crystal_system": "trigonal"
}

=====

{
  "formula": "YZr2Ir2",
  "functional": "PBE-GGA",
  "state": "relaxed",
  "lattice_angstrom": [[-2.098, 2.098, 6.565], [2.098, -2.098, 6.565], [2.098, 2.098, -6.565]],
  "species": ["Y", "Zr", "Zr", "Ir", "Ir"],
  "frac_coords": [[0.000, 0.000, 0.000], [0.373, 0.373, 0.000], [0.627, 0.627, 0.000], [0.250, 0.750, 0.500], [0.750, 0.250, 0.500]],
  "polymorph_energy_kj_per_mol_atoms": 51.3,
  "spacegroup": "I4/mmm, No. 139",
  "crystal_system": "tetragonal"
}

=====

The records above give, respectively, formation energy values of -0.7236, -0.2989, -0.1333, -0.2124 eV/atom.